A plane-wave DFT calculation with PBE was carried out for a relaxed LaPrTlAu crystal.

Calculated values
DFT formation energy = -0.58 eV per atom
distance to the lowest polymorph of the same formula = 0.000 eV/atom
electronic total energy = -4.42 eV/atom
calculated density = 9.80 g/cm³
space group = P4mm (99)
volume = 115.4 Å³/cell

a = 3.778 Å, b = 3.778 Å, c = 8.083 Å
α = 90.00°, β = 90.00°, γ = 90.00°
Fractional positions:
Pr 0.000 0.000 0.379
La 0.000 0.000 0.836
Tl 0.500 0.500 0.111
Au 0.500 0.500 0.601


A plane-wave DFT calculation with PBE was carried out for a relaxed YCu2Ni crystal.

Calculated values
DFT formation energy = -0.10 eV per atom
distance to the lowest polymorph of the same formula = 0.158 eV/atom
electronic total energy = -5.21 eV/atom
calculated density = 7.18 g/cm³
space group = F-43m (216)
volume = 63.5 Å³/cell

a = 4.478 Å, b = 4.478 Å, c = 4.478 Å
α = 60.00°, β = 60.00°, γ = 60.00°
Fractional positions:
Cu 0.000 0.000 0.000
Cu 0.750 0.750 0.750
Y 0.250 0.250 0.250
Ni 0.500 0.500 0.500


A plane-wave DFT calculation with PBE was carried out for a relaxed NaSr2Li5Cd2 crystal.

Calculated values
DFT formation energy = -0.10 eV per atom
electronic total energy = -1.71 eV/atom
calculated density = 2.63 g/cm³
space group = P4/mbm (127)
volume = 578.2 Å³/cell

a = 4.505 Å, b = 11.328 Å, c = 11.328 Å
α = 90.00°, β = 90.00°, γ = 90.00°
Fractional positions:
Sr 0.000 0.821 0.679
Sr 0.000 0.179 0.321
Sr 0.000 0.321 0.821
Sr 0.000 0.679 0.179
Na 0.000 0.500 0.500
Na 0.000 0.000 0.000
Cd 0.000 0.887 0.387
Cd 0.000 0.113 0.613
Cd 0.000 0.613 0.887
Cd 0.000 0.387 0.113
Li 0.500 0.067 0.775
Li 0.500 0.725 0.433
Li 0.500 0.000 0.500
Li 0.500 0.500 0.000
Li 0.500 0.433 0.275
Li 0.500 0.775 0.933
Li 0.500 0.225 0.067
Li 0.500 0.933 0.225
Li 0.500 0.567 0.725
Li 0.500 0.275 0.567


A plane-wave DFT calculation with PBE was carried out for a relaxed Mg2HgPt2 crystal.

Calculated values
DFT formation energy = -0.53 eV per atom
distance to the lowest polymorph of the same formula = 0.081 eV/atom
electronic total energy = -3.64 eV/atom
calculated density = 11.89 g/cm³
space group = P4/mbm (127)
volume = 178.5 Å³/cell

a = 7.807 Å, b = 7.807 Å, c = 2.929 Å
α = 90.00°, β = 90.00°, γ = 90.00°
Fractional positions:
Pt 0.152 0.652 0.500
Pt 0.652 0.848 0.500
Pt 0.348 0.152 0.500
Pt 0.848 0.348 0.500
Hg 0.500 0.500 0.000
Hg 0.000 0.000 0.000
Mg 0.858 0.642 0.000
Mg 0.358 0.858 0.000
Mg 0.142 0.358 0.000
Mg 0.642 0.142 0.000


A plane-wave DFT calculation with PBE was carried out for a relaxed YTi2NiRu crystal.

Calculated values
DFT formation energy = 0.24 eV per atom
electronic total energy = -7.23 eV/atom
calculated density = 5.54 g/cm³
space group = P4/mmm (123)
volume = 103.1 Å³/cell

a = 4.594 Å, b = 4.887 Å, c = 4.594 Å
α = 90.00°, β = 90.00°, γ = 90.00°
Site moments in Bohr magnetons follow the coordinates.
Fractional positions:
Ni 0.000 0.500 0.000  0.25
Ti 0.500 0.000 0.000  0.41
Ti 0.000 0.000 0.500  0.28
Y 0.500 0.500 0.500  0.14
Ru 0.000 0.000 0.000  -0.01


A plane-wave DFT calculation with PBE was carried out for a relaxed Ac8BiTe4P3 crystal.

Calculated values
electronic total energy = -5.57 eV/atom
formation energy without anion corrections = -1.4702 eV/atom
calculated density = 7.67 g/cm³
space group = R-3m (166)
volume = 568.9 Å³/cell

a = 9.214 Å, b = 9.390 Å, c = 9.214 Å
α = 119.39°, β = 120.00°, γ = 90.00°
Fractional positions:
Ac 0.750 0.275 0.500
Ac 0.250 0.725 0.500
Ac 0.250 0.725 0.975
Ac 0.725 0.725 0.975
Ac 0.261 0.284 0.523
Ac 0.750 0.275 0.025
Ac 0.739 0.716 0.477
Ac 0.275 0.275 0.025
Te 0.000 0.000 0.500
Te 0.500 0.000 0.500
Te 0.500 0.000 0.000
Te 0.000 0.000 0.000
Bi 0.000 0.500 0.000
P 0.000 0.500 0.500
P 0.500 0.500 0.000
P 0.500 0.500 0.500


A plane-wave DFT calculation with PBE was carried out for a relaxed La2ScAl crystal.

Calculated values
DFT formation energy = -0.14 eV per atom
electronic total energy = -5.12 eV/atom
calculated density = 5.22 g/cm³
space group = Fmmm (69)
volume = 111.2 Å³/cell

a = 5.941 Å, b = 5.941 Å, c = 5.937 Å
α = 132.65°, β = 132.65°, γ = 69.26°
Fractional positions:
Al 0.750 0.250 0.500
La 0.500 0.500 0.000
La 0.000 0.000 0.000
Sc 0.250 0.750 0.500


A plane-wave DFT calculation with PBE was carried out for a relaxed Hf2MnPtC crystal.

Calculated values
DFT formation energy = -0.68 eV per atom
electronic total energy = -9.54 eV/atom
calculated density = 13.63 g/cm³
space group = P4/mmm (123)
volume = 75.4 Å³/cell

a = 4.505 Å, b = 4.505 Å, c = 3.716 Å
α = 90.00°, β = 90.00°, γ = 90.00°
Fractional positions:
Mn 0.000 0.000 0.500
Pt 0.500 0.500 0.500
Hf 0.500 0.000 0.000
Hf 0.000 0.500 0.000
C 0.000 0.000 0.000


A plane-wave DFT calculation with PBE was carried out for a relaxed Ta2HBr2 crystal.

Calculated values
electronic total energy = -5.49 eV/atom
calculated density = 7.96 g/cm³
space group = I4/mmm (139)
volume = 109.1 Å³/cell

a = 3.857 Å, b = 3.857 Å, c = 7.824 Å
α = 75.73°, β = 75.73°, γ = 90.00°
Site moments in Bohr magnetons follow the coordinates.
Fractional positions:
Br 0.619 0.619 0.763  0.00
Br 0.381 0.381 0.237  0.00
Ta 0.250 0.750 0.500  -0.01
Ta 0.750 0.250 0.500  -0.01
H 0.000 0.000 0.000  0.07


A plane-wave DFT calculation with PBE was carried out for a relaxed CeNbB2O8 crystal.

Calculated values
electronic total energy = -8.13 eV/atom
formation energy without anion corrections = -2.3760 eV/atom
calculated density = 4.57 g/cm³
space group = P-3m1 (164)
volume = 139.0 Å³/cell

a = 4.954 Å, b = 4.954 Å, c = 6.541 Å
α = 90.00°, β = 90.00°, γ = 120.00°
Site moments in Bohr magnetons follow the coordinates.
Fractional positions:
O 0.173 0.827 0.799  0.04
O 0.173 0.346 0.799  0.04
O 0.827 0.173 0.201  0.04
O 0.333 0.667 0.501  0.31
O 0.346 0.173 0.201  0.04
O 0.667 0.333 0.499  0.31
O 0.654 0.827 0.799  0.04
O 0.827 0.654 0.201  0.04
Ce 0.000 0.000 0.500  -0.07
Nb 0.000 0.000 0.000  -0.01
B 0.333 0.667 0.723  -0.01
B 0.667 0.333 0.277  -0.01


A plane-wave DFT calculation with PBE was carried out for a relaxed AlRh2WN crystal.

Calculated values
electronic total energy = -8.01 eV/atom
formation energy without anion corrections = -0.0684 eV/atom
calculated density = 10.51 g/cm³
space group = P4/mmm (123)
volume = 68.0 Å³/cell

a = 4.094 Å, b = 4.058 Å, c = 4.094 Å
α = 90.00°, β = 90.00°, γ = 90.00°
Fractional positions:
Rh 0.500 0.000 0.000
Rh 0.000 0.000 0.500
W 0.000 0.500 0.000
N 0.000 0.000 0.000
Al 0.500 0.500 0.500


A plane-wave DFT calculation with PBE was carried out for a relaxed CuOsW crystal.

Calculated values
DFT formation energy = 0.16 eV per atom
distance to the lowest polymorph of the same formula = 0.000 eV/atom
electronic total energy = -9.27 eV/atom
calculated density = 16.98 g/cm³
space group = Imm2 (44)
volume = 42.8 Å³/cell

a = 4.661 Å, b = 4.661 Å, c = 4.661 Å
α = 145.27°, β = 131.46°, γ = 61.05°
Fractional positions:
W 0.667 0.667 0.000
Cu 0.998 0.998 0.000
Os 0.334 0.334 0.000


A plane-wave DFT calculation with PBE was carried out for a relaxed FeMo2Ir crystal.

Calculated values
DFT formation energy = 0.59 eV per atom
distance to the lowest polymorph of the same formula = 0.660 eV/atom
electronic total energy = -9.16 eV/atom
calculated density = 11.57 g/cm³
space group = I-42d (122)
volume = 126.2 Å³/cell

a = 3.669 Å, b = 3.669 Å, c = 9.730 Å
α = 79.13°, β = 79.13°, γ = 90.00°
Site moments in Bohr magnetons follow the coordinates.
Fractional positions:
Fe 0.500 0.500 0.000  2.55
Fe 0.250 0.750 0.500  2.55
Mo 0.609 0.125 0.250  0.01
Mo 0.141 0.625 0.250  0.01
Mo 0.375 0.391 0.750  0.01
Mo 0.875 0.859 0.750  0.02
Ir 0.750 0.250 0.500  0.19
Ir 0.000 0.000 0.000  0.18


A plane-wave DFT calculation with PBE was carried out for a relaxed RbTe2RuN crystal.

Calculated values
distance to the lowest polymorph of the same formula = 2.315 eV/atom
electronic total energy = -2.58 eV/atom
formation energy without anion corrections = 2.3875 eV/atom
calculated density = 4.51 g/cm³
space group = P4/mmm (123)
volume = 167.9 Å³/cell

a = 6.155 Å, b = 6.155 Å, c = 4.433 Å
α = 90.00°, β = 90.00°, γ = 90.00°
Site moments in Bohr magnetons follow the coordinates.
Fractional positions:
Te 0.000 0.500 0.000  0.11
Te 0.500 0.000 0.000  0.11
Rb 0.000 0.000 0.000  0.04
Ru 0.500 0.500 0.500  2.80
N 0.000 0.000 0.500  1.08


A plane-wave DFT calculation with PBE was carried out for a relaxed ZrHIrRh2 crystal.

Calculated values
distance to the lowest polymorph of the same formula = 0.000 eV/atom
electronic total energy = -7.70 eV/atom
calculated density = 12.56 g/cm³
space group = P4/mmm (123)
volume = 64.8 Å³/cell

a = 4.018 Å, b = 4.018 Å, c = 4.014 Å
α = 90.00°, β = 90.00°, γ = 90.00°
Fractional positions:
Ir 0.000 0.000 0.500
Rh 0.000 0.500 0.000
Rh 0.500 0.000 0.000
H 0.000 0.000 0.000
Zr 0.500 0.500 0.500


A plane-wave DFT calculation with PBE was carried out for a relaxed UHgTe2 crystal.

Calculated values
distance to the lowest polymorph of the same formula = 0.013 eV/atom
electronic total energy = -4.88 eV/atom
formation energy without anion corrections = -0.4112 eV/atom
calculated density = 6.55 g/cm³
space group = R-3m (166)
volume = 175.9 Å³/cell

a = 4.279 Å, b = 4.279 Å, c = 11.364 Å
α = 79.15°, β = 79.15°, γ = 60.00°
Site moments in Bohr magnetons follow the coordinates.
Fractional positions:
Te 0.113 0.113 0.661  -0.09
Te 0.887 0.887 0.339  -0.09
Hg 0.000 0.000 0.000  -0.01
U 0.500 0.500 0.500  2.12


A plane-wave DFT calculation with PBE was carried out for a relaxed Sb3Au3I crystal.

Calculated values
electronic total energy = -3.20 eV/atom
formation energy without anion corrections = 0.1892 eV/atom
calculated density = 8.02 g/cm³
space group = Pm-3n (223)
volume = 448.4 Å³/cell

a = 7.654 Å, b = 7.654 Å, c = 7.654 Å
α = 90.00°, β = 90.00°, γ = 90.00°
Fractional positions:
Au 0.750 0.000 0.500
Au 0.500 0.750 0.000
Au 0.000 0.500 0.250
Au 0.500 0.250 0.000
Au 0.000 0.500 0.750
Au 0.250 0.000 0.500
I 0.500 0.500 0.500
I 0.000 0.000 0.000
Sb 0.000 0.250 0.500
Sb 0.000 0.750 0.500
Sb 0.500 0.000 0.250
Sb 0.250 0.500 0.000
Sb 0.750 0.500 0.000
Sb 0.500 0.000 0.750


A plane-wave DFT calculation with PBE was carried out for a relaxed Ni2OsPb crystal.

Calculated values
DFT formation energy = 0.57 eV per atom
electronic total energy = -6.06 eV/atom
calculated density = 14.33 g/cm³
space group = I-4m2 (119)
volume = 59.6 Å³/cell

a = 4.752 Å, b = 4.752 Å, c = 4.752 Å
α = 131.08°, β = 131.08°, γ = 71.68°
Site moments in Bohr magnetons follow the coordinates.
Fractional positions:
Ni 0.000 0.000 0.000  0.20
Ni 0.250 0.750 0.500  0.48
Pb 0.750 0.250 0.500  -0.01
Os 0.500 0.500 0.000  0.48


A plane-wave DFT calculation with PBE was carried out for a relaxed Pm2GaAg6 crystal.

Calculated values
DFT formation energy = -0.21 eV per atom
electronic total energy = -3.50 eV/atom
calculated density = 8.70 g/cm³
space group = P-3m1 (164)
volume = 192.3 Å³/cell

a = 5.984 Å, b = 6.093 Å, c = 6.093 Å
α = 59.95°, β = 89.95°, γ = 89.95°
Fractional positions:
Pm 0.152 0.333 0.333
Pm 0.848 0.667 0.667
Ga 0.000 0.000 0.000
Ag 0.323 0.355 0.822
Ag 0.677 0.178 0.645
Ag 0.677 0.645 0.178
Ag 0.323 0.822 0.355
Ag 0.323 0.822 0.822
Ag 0.677 0.178 0.178


A plane-wave DFT calculation with PBE was carried out for a relaxed SmS4Br crystal.

Calculated values
electronic total energy = -4.62 eV/atom
formation energy without anion corrections = -0.8050 eV/atom
calculated density = 3.27 g/cm³
space group = P-1 (2)
volume = 364.5 Å³/cell

a = 8.167 Å, b = 5.676 Å, c = 13.957 Å
α = 65.25°, β = 141.60°, γ = 110.89°
Fractional positions:
S 0.041 0.296 0.913
S 0.031 0.954 0.900
S 0.422 0.319 0.491
S 0.578 0.681 0.509
S 0.969 0.046 0.100
S 0.974 0.960 0.566
S 0.959 0.704 0.087
S 0.026 0.040 0.434
Br 0.406 0.468 0.736
Br 0.594 0.532 0.264
Sm 0.540 0.019 0.760
Sm 0.460 0.981 0.240